Record 1
A plane-wave DFT calculation with PBE was carried out for TcRu2F after structural relaxation.

Values from the calculation:
E above lowest polymorph = 0.0 kJ per mole of atoms

a b c (Å): 4.2336 4.2336 4.2336
angles (deg): 60.00 60.00 60.00
Closest atoms and distances in Å follow each position.
Element x y z (fractional)
Ru 0.2500 0.2500 0.2500  4 F 2.59, 4 Tc 2.59
Ru 0.7500 0.7500 0.7500  4 Tc 2.59, 4 F 2.59
Tc 0.5000 0.5000 0.5000  8 Ru 2.59
F 0.0000 0.0000 0.0000  8 Ru 2.59

---

Record 2
A plane-wave DFT calculation with PBE was carried out for Na2AgAu2 after structural relaxation.

Values from the calculation:
E above lowest polymorph = 2.3 kJ per mole of atoms
ΔE_f = -22.5 kJ per mole of atoms

a b c (Å): 5.6053 5.6022 8.7157
angles (deg): 102.60 90.00 120.02
Closest atoms and distances in Å follow each position.
Element x y z (fractional)
Na 0.5162 0.3097 0.1572  6 Au 3.03-3.33, 2 Ag 3.23-3.25
Na 0.2065 0.6903 0.3428  6 Au 3.03-3.33, 2 Ag 3.23-3.25
Na 0.4838 0.6903 0.8428  6 Au 3.03-3.33, 2 Ag 3.23-3.25
Na 0.7935 0.3097 0.6572  6 Au 3.03-3.33, 2 Ag 3.23-3.25
Ag 0.8309 0.0000 0.2500  4 Au 2.76-2.80
Ag 0.1691 0.0000 0.7500  4 Au 2.76-2.80
Au 0.7387 0.7432 0.4981  2 Au 2.71-2.90, 2 Ag 2.76-2.80, 1 Na 3.03
Au 0.9955 0.2568 0.0019  2 Au 2.71-2.90, 2 Ag 2.76-2.80, 1 Na 3.03
Au 0.2613 0.2568 0.5019  2 Au 2.71-2.90, 2 Ag 2.76-2.80, 1 Na 3.03
Au 0.0045 0.7432 0.9981  2 Au 2.71-2.90, 2 Ag 2.76-2.80, 1 Na 3.03

---

Record 3
A plane-wave DFT calculation with PBE was carried out for In2AsPtSe after structural relaxation.

Values from the calculation:
E = -3.947 eV/atom

a b c (Å): 5.3054 4.7011 5.3054
angles (deg): 90.00 90.00 90.00
Closest atoms and distances in Å follow each position.
Element x y z (fractional)
As 0.0000 0.5000 0.0000  2 Pt 2.35
Se 0.5000 0.5000 0.5000  8 In 3.54, 4 As 3.75
Pt 0.0000 0.0000 0.0000  2 As 2.35
In 0.0000 0.0000 0.5000  2 Pt 2.65
In 0.5000 0.0000 0.0000  2 Pt 2.65

---

Record 4
A plane-wave DFT calculation with PBE was carried out for Pr2Nd7Dy4 after structural relaxation.

Values from the calculation:
ΔE_f = 16.3 kJ per mole of atoms

a b c (Å): 6.2444 6.2445 13.3044
angles (deg): 89.99 90.00 120.00
Closest atoms and distances in Å follow each position.
Element x y z (fractional)
Pr 0.6667 0.3333 0.0000  9 Nd 3.59-3.61, 3 Pr 3.61
Pr 0.3333 0.6667 0.0000  9 Nd 3.59-3.61, 3 Pr 3.61
Nd 0.0000 0.6297 0.7749  1 Dy 3.22, 4 Nd 3.42, 2 Pr 3.59
Nd 0.0000 0.3703 0.2251  1 Dy 3.22, 4 Nd 3.42, 2 Pr 3.59
Nd 0.0000 0.0000 0.0000  6 Pr 3.61, 6 Nd 3.78
Nd 0.6297 0.0000 0.7749  1 Dy 3.22, 4 Nd 3.42, 2 Pr 3.59
Nd 0.3703 0.0000 0.2251  1 Dy 3.22, 4 Nd 3.42, 2 Pr 3.59
Nd 0.6297 0.6297 0.2251  1 Dy 3.22, 4 Nd 3.42, 2 Pr 3.59
Nd 0.3703 0.3703 0.7749  1 Dy 3.22, 4 Nd 3.42, 2 Pr 3.59
Dy 0.0000 0.0000 0.6068  1 Dy 2.84
Dy 0.0000 0.0000 0.3932  1 Dy 2.84
Dy 0.6667 0.3333 0.5000  9 Dy 3.61-3.88
Dy 0.3333 0.6667 0.5000  9 Dy 3.61-3.88

---

Record 5
A plane-wave DFT calculation with PBE was carried out for CaSc3Ge after structural relaxation.

Values from the calculation:
E above lowest polymorph = 0.0 kJ per mole of atoms
ΔE_f = -6.0 kJ per mole of atoms

a b c (Å): 5.2432 5.2432 5.2432
angles (deg): 90.00 90.00 90.00
Closest atoms and distances in Å follow each position.
Element x y z (fractional)
Sc 0.0000 0.5000 0.0000  2 Ge 2.62
Sc 0.0000 0.0000 0.5000  2 Ge 2.62
Sc 0.5000 0.0000 0.0000  2 Ge 2.62
Ge 0.0000 0.0000 0.0000  6 Sc 2.62
Ca 0.5000 0.5000 0.5000  12 Sc 3.71

---

Record 6
A plane-wave DFT calculation with PBE was carried out for EuHoPu4 after structural relaxation.

Values from the calculation:
ΔE_f = 149.7 kJ per mole of atoms

a b c (Å): 7.5973 7.5973 7.5973
angles (deg): 60.00 60.00 60.00
Closest atoms and distances in Å follow each position.
Element x y z (fractional)
Eu 0.2500 0.2500 0.2500  12 Pu 4.57, 4 Ho 4.65
Ho 0.0000 0.0000 0.0000  4 Pu 2.82
Pu 0.8486 0.8486 0.4541  1 Ho 2.82, 3 Pu 3.00
Pu 0.8486 0.4541 0.8486  1 Ho 2.82, 3 Pu 3.00
Pu 0.8486 0.8486 0.8486  1 Ho 2.82, 3 Pu 3.00
Pu 0.4541 0.8486 0.8486  1 Ho 2.82, 3 Pu 3.00

---

Record 7
A plane-wave DFT calculation with PBE was carried out for ErTmPd2 after structural relaxation.

Values from the calculation:
E above lowest polymorph = 1.2 kJ per mole of atoms
ΔE_f = -90.4 kJ per mole of atoms

a b c (Å): 4.9126 4.9126 4.9126
angles (deg): 60.00 60.00 60.00
Closest atoms and distances in Å follow each position.
Element x y z (fractional)
Tm 0.0000 0.0000 0.0000  8 Pd 3.01
Pd 0.2500 0.2500 0.2500  4 Tm 3.01, 4 Er 3.01
Pd 0.7500 0.7500 0.7500  4 Er 3.01, 4 Tm 3.01
Er 0.5000 0.5000 0.5000  8 Pd 3.01

---

Record 8
A plane-wave DFT calculation with PBE was carried out for K2SrTa after structural relaxation.

Values from the calculation:
E above lowest polymorph = 25.1 kJ per mole of atoms
ΔE_f = 116.5 kJ per mole of atoms

a b c (Å): 14.1189 14.1189 14.1189
angles (deg): 14.06 14.06 14.06
Closest atoms and distances in Å follow each position.
Element x y z (fractional)
K 0.0099 0.0099 0.0099  6 K 3.46, 3 Ta 3.67
K 0.4901 0.4901 0.4901  6 K 3.46, 3 Ta 3.67
Sr 0.2500 0.2500 0.2500  6 Sr 3.46
Ta 0.7500 0.7500 0.7500  6 Ta 3.46, 6 K 3.67

---

Record 9
A plane-wave DFT calculation with PBE was carried out for Nd11Ga9Ni4 after structural relaxation.

Values from the calculation:
ΔE_f = -50.0 kJ per mole of atoms

a b c (Å): 3.7115 12.7585 12.7585
angles (deg): 112.68 90.00 90.00
Closest atoms and distances in Å follow each position.
Element x y z (fractional)
Nd 0.0000 0.5872 0.9306  2 Ni 2.79
Nd 0.0000 0.4128 0.0694  2 Ni 2.79
Nd 0.0000 0.9306 0.5872  2 Ni 2.79
Nd 0.0000 0.0694 0.4128  2 Ni 2.79
Nd 0.0000 0.6264 0.3736  4 Ni 2.93, 6 Ga 3.22-3.26
Nd 0.0000 0.3736 0.6264  4 Ni 2.93, 6 Ga 3.22-3.26
Nd 0.0000 0.8325 0.1675  8 Ga 3.19-3.52, 3 Nd 3.41-3.56
Nd 0.0000 0.1675 0.8325  8 Ga 3.19-3.52, 3 Nd 3.41-3.56
Nd 0.0000 0.0000 0.0000  8 Ga 3.19, 2 Nd 3.56
Nd 0.0000 0.6909 0.6909  4 Ni 2.89
Nd 0.0000 0.3091 0.3091  4 Ni 2.89
Ga 0.5000 0.6300 0.1686  1 Ni 2.85, 1 Ga 2.85, 4 Nd 3.17-3.19
Ga 0.5000 0.3700 0.8314  1 Ni 2.85, 1 Ga 2.85, 4 Nd 3.17-3.19
Ga 0.5000 0.1686 0.6300  1 Ni 2.85, 1 Ga 2.85, 4 Nd 3.17-3.19
Ga 0.5000 0.8314 0.3700  1 Ni 2.85, 1 Ga 2.85, 4 Nd 3.17-3.19
Ga 0.5000 0.7800 0.9176  1 Ni 2.81, 1 Ga 2.92, 2 Nd 3.14
Ga 0.5000 0.2200 0.0824  1 Ni 2.81, 1 Ga 2.92, 2 Nd 3.14
Ga 0.5000 0.9176 0.7800  1 Ni 2.81, 1 Ga 2.92, 2 Nd 3.14
Ga 0.5000 0.0824 0.2200  1 Ni 2.81, 1 Ga 2.92, 2 Nd 3.14
Ga 0.5000 0.5000 0.5000  4 Ni 3.09, 8 Nd 3.26-3.28
Ni 0.5000 0.5542 0.7579  6 Nd 2.79-2.93, 3 Ga 2.81-3.09
Ni 0.5000 0.4458 0.2421  6 Nd 2.79-2.93, 3 Ga 2.81-3.09
Ni 0.5000 0.7579 0.5542  6 Nd 2.79-2.93, 3 Ga 2.81-3.09
Ni 0.5000 0.2421 0.4458  6 Nd 2.79-2.93, 3 Ga 2.81-3.09

---

Record 10
A plane-wave DFT calculation with PBE was carried out for PmHfIrRh after structural relaxation.

Values from the calculation:
ΔE_f = -66.1 kJ per mole of atoms

a b c (Å): 4.7962 4.7962 4.7962
angles (deg): 60.00 60.00 60.00
Closest atoms and distances in Å follow each position.
Element x y z (fractional)
Rh 0.0000 0.0000 0.0000  4 Pm 2.94, 4 Hf 2.94
Ir 0.5000 0.5000 0.5000  4 Hf 2.94, 4 Pm 2.94
Hf 0.2500 0.2500 0.2500  4 Ir 2.94, 4 Rh 2.94
Pm 0.7500 0.7500 0.7500  4 Rh 2.94, 4 Ir 2.94

---

Record 11
A plane-wave DFT calculation with PBE was carried out for ScRe2Br after structural relaxation.

Values from the calculation:
E above lowest polymorph = 79.4 kJ per mole of atoms

a b c (Å): 9.1837 9.1837 9.1837
angles (deg): 18.69 18.69 18.69
Closest atoms and distances in Å follow each position.
Element x y z (fractional)
Br 0.7500 0.7500 0.7500  6 Re 2.81, 6 Br 2.98
Re 0.0013 0.0013 0.0013  3 Br 2.81, 3 Sc 2.87, 6 Re 2.98
Re 0.4987 0.4987 0.4987  3 Br 2.81, 3 Sc 2.87, 6 Re 2.98
Sc 0.2500 0.2500 0.2500  6 Re 2.87, 6 Sc 2.98

---

Record 12
A plane-wave DFT calculation with PBE was carried out for KNiPt2 after structural relaxation.

Values from the calculation:
E above lowest polymorph = 48.7 kJ per mole of atoms
ΔE_f = 58.3 kJ per mole of atoms

a b c (Å): 5.1456 5.1456 5.1456
angles (deg): 133.51 133.51 67.86
Closest atoms and distances in Å follow each position.
Element x y z (fractional)
K 0.2500 0.7500 0.5000  4 Ni 2.87, 8 Pt 2.95
Ni 0.7500 0.2500 0.5000  4 K 2.87, 8 Pt 2.95
Pt 0.0000 0.0000 0.0000  4 Pt 2.87, 4 K 2.95, 4 Ni 2.95
Pt 0.5000 0.5000 0.0000  4 Pt 2.87, 4 Ni 2.95, 4 K 2.95

---

Magnetic moment: 0.0000; 0.0000; 0.0000; 0.0000; 0.0003; 5.7177; 0.0000; 0.4167; 0.0000; 0.0000; 0.0000; 0.3099 (μB per atom)